ZnCr3I after structural relaxation. Source: Alexandria via LeMat-Bulk, functional GGA-PBE.

Cell and atoms, written as CIF:
```
data_ZnCr3I
_cell_length_a 4.631
_cell_length_b 4.631
_cell_length_c 4.631
_cell_angle_alpha 90.00
_cell_angle_beta 90.00
_cell_angle_gamma 90.00
_symmetry_space_group_name_H-M 'P m -3 m'
_symmetry_Int_Tables_number 221
_symmetry_space_group_name_Hall '-P 4 2 3'
loop_
_atom_site_label
_atom_site_type_symbol
_atom_site_fract_x
_atom_site_fract_y
_atom_site_fract_z
_atom_site_occupancy
Zn1 Zn 0.000 0.000 0.000 1
Cr1 Cr 0.000 0.500 0.500 1
I1 I 0.500 0.500 0.500 1
```

The total energy comes out at -4.367 eV per atom. The energy relative to the elements, uncorrected is 1972 meV per atom. For the calculated density, the calculation gives 5.8 g/cm3. The distance to the lowest polymorph of the same formula comes out at 4.24 eV/f.u.